Entry 1:
# Zr3AgC (PBE, relaxed)
data_Zr3AgC
_symmetry_space_group_name_H-M 'P m -3 m'
_symmetry_Int_Tables_number 221
_symmetry_space_group_name_Hall '-P 4 2 3'
_cell_length_a 5.093
_cell_length_b 5.093
_cell_length_c 5.093
_cell_angle_alpha 90.00
_cell_angle_beta 90.00
_cell_angle_gamma 90.00
loop_
_atom_site_label
_atom_site_type_symbol
_atom_site_fract_x
_atom_site_fract_y
_atom_site_fract_z
_atom_site_occupancy
Zr1 Zr 0.000 0.000 0.500 1
Ag1 Ag 0.000 0.000 0.000 1
C1 C 0.500 0.500 0.500 1
# Energy above the most stable polymorph in this dataset = 243.7 kJ/mol of atoms
# ΔH_f (0 K) = 10.62 eV/f.u.

---

Entry 2:
# Tl2CoNi (PBE, relaxed)
data_Tl2CoNi
_symmetry_space_group_name_H-M 'I m m 2'
_symmetry_Int_Tables_number 44
_cell_length_a 3.081
_cell_length_b 4.313
_cell_length_c 11.154
_cell_angle_alpha 90.00
_cell_angle_beta 90.00
_cell_angle_gamma 90.00
loop_
_symmetry_equiv_pos_as_xyz
'x,y,z'
'-x,-y,z'
'-x,y,z'
'x,-y,z'
'x+1/2,y+1/2,z+1/2'
'-x+1/2,-y+1/2,z+1/2'
'-x+1/2,y+1/2,z+1/2'
'x+1/2,-y+1/2,z+1/2'
loop_
_atom_site_label
_atom_site_type_symbol
_atom_site_fract_x
_atom_site_fract_y
_atom_site_fract_z
_atom_site_occupancy
Tl1 Tl 0.000 0.000 0.000 1
Tl2 Tl 0.000 0.500 0.227 1
Co1 Co 0.000 0.500 0.727 1
Ni1 Ni 0.000 0.000 0.401 1
# Energy above the most stable polymorph in this dataset = 6.1 kJ/mol of atoms
# ΔH_f (0 K) = 1.83 eV/f.u.

---

Entry 3:
# Rb2LaAsI6 (PBE, relaxed)
data_Rb2LaAsI6
_symmetry_space_group_name_H-M 'I 4/m m m'
_symmetry_Int_Tables_number 139
_symmetry_space_group_name_Hall '-I 4 2'
_cell_length_a 8.461
_cell_length_b 8.461
_cell_length_c 14.316
_cell_angle_alpha 90.00
_cell_angle_beta 90.00
_cell_angle_gamma 90.00
loop_
_atom_site_label
_atom_site_type_symbol
_atom_site_fract_x
_atom_site_fract_y
_atom_site_fract_z
_atom_site_occupancy
Rb1 Rb 0.000 0.500 0.250 1
La1 La 0.000 0.000 0.000 1
As1 As 0.000 0.000 0.500 1
I1 I 0.000 0.000 0.221 1
I2 I 0.238 0.238 0.500 1
# E_form (uncorrected) = -0.995 eV per atom

---

Entry 4:
# YCrRu2 (PBE, relaxed)
data_YCrRu2
_symmetry_space_group_name_H-M 'C 1 2/m 1'
_symmetry_Int_Tables_number 12
_cell_length_a 8.741
_cell_length_b 3.237
_cell_length_c 5.211
_cell_angle_alpha 90.00
_cell_angle_beta 110.59
_cell_angle_gamma 90.00
loop_
_symmetry_equiv_pos_as_xyz
'x,y,z'
'-x,-y,-z'
'-x,y,-z'
'x,-y,z'
'x+1/2,y+1/2,z'
'-x+1/2,-y+1/2,-z'
'-x+1/2,y+1/2,-z'
'x+1/2,-y+1/2,z'
loop_
_atom_site_label
_atom_site_type_symbol
_atom_site_fract_x
_atom_site_fract_y
_atom_site_fract_z
_atom_site_occupancy
Y1 Y 0.000 0.000 0.000 1
Cr1 Cr 0.000 0.500 0.500 1
Ru1 Ru 0.213 0.000 0.676 1
# Energy above the most stable polymorph in this dataset = 16.4 kJ/mol of atoms
# ΔH_f (0 K) = 0.77 eV/f.u.

---

Entry 5:
# FeP8 (PBE, relaxed)
data_FeP8
_symmetry_space_group_name_H-M 'I 4/m m m'
_symmetry_Int_Tables_number 139
_symmetry_space_group_name_Hall '-I 4 2'
_cell_length_a 7.141
_cell_length_b 7.141
_cell_length_c 5.197
_cell_angle_alpha 90.00
_cell_angle_beta 90.00
_cell_angle_gamma 90.00
loop_
_atom_site_label
_atom_site_type_symbol
_atom_site_fract_x
_atom_site_fract_y
_atom_site_fract_z
_atom_site_occupancy
Fe1 Fe 0.000 0.000 0.000 1
P1 P 0.000 0.317 0.000 1
P2 P 0.159 0.159 0.500 1
# ΔH_f (0 K) = 5.11 eV/f.u.

---

Entry 6:
# La3YB (PBE, relaxed)
data_La3YB
_symmetry_space_group_name_H-M 'P m -3 m'
_symmetry_Int_Tables_number 221
_symmetry_space_group_name_Hall '-P 4 2 3'
_cell_length_a 5.451
_cell_length_b 5.451
_cell_length_c 5.451
_cell_angle_alpha 90.00
_cell_angle_beta 90.00
_cell_angle_gamma 90.00
loop_
_atom_site_label
_atom_site_type_symbol
_atom_site_fract_x
_atom_site_fract_y
_atom_site_fract_z
_atom_site_occupancy
La1 La 0.000 0.000 0.500 1
Y1 Y 0.500 0.500 0.500 1
B1 B 0.000 0.000 0.000 1
# Energy above the most stable polymorph in this dataset = 0.0 kJ/mol of atoms
# ΔH_f (0 K) = 0.84 eV/f.u.

---

Entry 7:
# SrCa2AcIn4 (PBE, relaxed)
data_SrCa2AcIn4
_symmetry_space_group_name_H-M 'R -3 m'
_symmetry_Int_Tables_number 166
_symmetry_space_group_name_Hall '-R 3 2"'
_cell_length_a 5.6412
_cell_length_b 5.6412
_cell_length_c 27.6377
_cell_angle_alpha 90.00
_cell_angle_beta 90.00
_cell_angle_gamma 120.00
loop_
_atom_site_label
_atom_site_type_symbol
_atom_site_fract_x
_atom_site_fract_y
_atom_site_fract_z
_atom_site_occupancy
Sr1 Sr 0.0000 0.0000 0.0000 1
Ca1 Ca 0.0000 0.0000 0.2511 1
Ac1 Ac 0.0000 0.0000 0.5000 1
In1 In 0.0000 0.0000 0.1243 1
In2 In 0.0000 0.0000 0.3745 1
# ΔH_f (0 K) = -3.58 eV/f.u.

---

Entry 8:
# Zr5In4 (PBE, relaxed)
data_Zr5In4
_symmetry_space_group_name_H-M 'P 63/m c m'
_symmetry_Int_Tables_number 193
_symmetry_space_group_name_Hall '-P 6c 2'
_cell_length_a 8.8302
_cell_length_b 8.8302
_cell_length_c 6.0124
_cell_angle_alpha 90.00
_cell_angle_beta 90.00
_cell_angle_gamma 120.00
loop_
_atom_site_label
_atom_site_type_symbol
_atom_site_fract_x
_atom_site_fract_y
_atom_site_fract_z
_atom_site_occupancy
Zr1 Zr 0.0000 0.2968 0.2500 1
Zr2 Zr 0.3333 0.6667 0.0000 1
In1 In 0.0000 0.0000 0.0000 1
In2 In 0.0000 0.3707 0.7500 1
# ΔH_f (0 K) = -2.47 eV/f.u.